{"formula": "Mg2TlFe", "functional": "GGA-PBE", "state": "relaxed", "dft_energy_ev_per_atom": -3.230, "e_form_mev_per_atom": 275, "e_above_lowest_polymorph_ev_per_fu": 0.36, "space_group": "R-3m", "lattice": [[1.5787, 0.9115, 9.4373], [-1.5787, 0.9115, 9.4373], [0.0000, -1.8230, 9.4373]], "species": ["Mg", "Mg", "Tl", "Fe"], "fractional_positions": [[0.2406, 0.2406, 0.2406], [0.7594, 0.7594, 0.7594], [0.0000, 0.0000, 0.0000], [0.5000, 0.5000, 0.5000]]}


{"formula": "Pr2Y4N", "functional": "GGA-PBE", "state": "relaxed", "e_form_raw_ev_per_atom": -0.2799, "dft_energy_ev_per_atom": -6.529, "space_group": "I4/mmm", "lattice": [[-2.4089, 2.4089, 9.0736], [2.4089, -2.4089, 9.0736], [2.4089, 2.4089, -9.0736]], "species": ["Pr", "Pr", "Y", "Y", "Y", "Y", "N"], "fractional_positions": [[0.1760, 0.1760, 0.0000], [0.8240, 0.8240, 0.0000], [0.0000, 0.5000, 0.5000], [0.3704, 0.3704, 0.0000], [0.5000, 0.0000, 0.5000], [0.6296, 0.6296, 0.0000], [0.5000, 0.5000, 0.0000]]}


{"formula": "Cr2ReTe", "functional": "GGA-PBE", "state": "relaxed", "e_form_raw_ev_per_atom": 0.4226, "dft_energy_ev_per_atom": -8.287, "space_group": "P4/mmm", "lattice": [[3.0657, 0.0000, 0.0000], [0.0000, 3.0657, 0.0000], [0.0000, 0.0000, 6.3893]], "species": ["Cr", "Cr", "Re", "Te"], "fractional_positions": [[0.0000, 0.0000, 0.2293], [0.0000, 0.0000, 0.7707], [0.5000, 0.5000, 0.0000], [0.5000, 0.5000, 0.5000]]}


{"formula": "Pm3Zn2Ni6", "functional": "GGA-PBE", "state": "relaxed", "dft_energy_ev_per_atom": -5.070, "e_form_mev_per_atom": -389, "space_group": "Im-3m", "lattice": [[-4.5158, 4.5158, 4.5158], [4.5158, -4.5158, 4.5158], [4.5158, 4.5158, -4.5158]], "species": ["Pm", "Pm", "Pm", "Pm", "Pm", "Pm", "Zn", "Zn", "Zn", "Zn", "Ni", "Ni", "Ni", "Ni", "Ni", "Ni", "Ni", "Ni", "Ni", "Ni", "Ni", "Ni"], "fractional_positions": [[0.0000, 0.2946, 0.2946], [0.0000, 0.7054, 0.7054], [0.2946, 0.0000, 0.2946], [0.2946, 0.2946, 0.0000], [0.7054, 0.0000, 0.7054], [0.7054, 0.7054, 0.0000], [0.0000, 0.0000, 0.5000], [0.0000, 0.5000, 0.0000], [0.5000, 0.0000, 0.0000], [0.5000, 0.5000, 0.5000], [0.0000, 0.3380, 0.6620], [0.0000, 0.6620, 0.3380], [0.3240, 0.6620, 0.6620], [0.3380, 0.0000, 0.6620], [0.3380, 0.3380, 0.6760], [0.3380, 0.6620, 0.0000], [0.3380, 0.6760, 0.3380], [0.6620, 0.0000, 0.3380], [0.6620, 0.3240, 0.6620], [0.6620, 0.3380, 0.0000], [0.6620, 0.6620, 0.3240], [0.6760, 0.3380, 0.3380]]}


{"formula": "CaNdCu2Ge2", "functional": "GGA-PBE", "state": "relaxed", "dft_energy_ev_per_atom": -4.597, "e_form_mev_per_atom": -565, "space_group": "P-3m1", "lattice": [[4.2424, 0.0000, 0.0000], [-2.1212, 3.6741, 0.0000], [0.0000, 0.0000, 8.0548]], "species": ["Ca", "Nd", "Cu", "Cu", "Ge", "Ge"], "fractional_positions": [[0.0000, 0.0000, 0.0000], [0.0000, 0.0000, 0.5000], [0.3333, 0.6667, 0.2459], [0.6667, 0.3333, 0.7541], [0.3333, 0.6667, 0.7453], [0.6667, 0.3333, 0.2547]]}


{"formula": "Ti2BeIn", "functional": "GGA-PBE", "state": "relaxed", "dft_energy_ev_per_atom": -5.487, "e_form_mev_per_atom": 77, "e_above_lowest_polymorph_ev_per_fu": 0.69, "space_group": "Fm-3m", "lattice": [[0.0000, 3.1993, 3.1993], [3.1993, 0.0000, 3.1993], [3.1993, 3.1993, 0.0000]], "species": ["Ti", "Ti", "Be", "In"], "fractional_positions": [[0.2500, 0.2500, 0.2500], [0.7500, 0.7500, 0.7500], [0.0000, 0.0000, 0.0000], [0.5000, 0.5000, 0.5000]]}